The following is a PBE calculation of a relaxed Np2Al8Rh crystal, from Alexandria.

Unit cell a=4.260 b=4.260 c=11.234 alpha=90.00 beta=90.00 gamma=90.00
Sites, in units of the cell vectors:
Rh1 0.000 0.000 0.000
Al1 0.500 0.000 0.123
Al2 0.000 0.500 0.877
Al3 0.500 0.000 0.500
Al4 0.500 0.500 0.307
Al5 0.500 0.500 0.693
Al6 0.000 0.500 0.500
Al7 0.500 0.000 0.877
Al8 0.000 0.500 0.123
Np1 0.000 0.000 0.689
Np2 0.000 0.000 0.311

The value obtained for the formation energy is -0.3156 eV per atom. For the raw total energy, the calculation gives -6.059 eV per atom.

---

The following is a PBE calculation of a relaxed NpAlRh5 crystal, from Alexandria.

Unit cell a=4.082 b=4.082 c=6.731 alpha=90.00 beta=90.00 gamma=90.00
Sites, in units of the cell vectors:
Rh1 0.500 0.000 0.780
Rh2 0.500 0.000 0.220
Rh3 0.500 0.500 0.500
Rh4 0.000 0.500 0.220
Rh5 0.000 0.500 0.780
Al1 0.500 0.500 0.000
Np1 0.000 0.000 0.500

The value obtained for the formation energy is -0.3958 eV per atom. For the raw total energy, the calculation gives -8.030 eV per atom.

---

The following is a PBE calculation of a relaxed NpAlRh2 crystal, from Alexandria.

Unit cell a=3.010 b=3.010 c=7.176 alpha=90.00 beta=90.00 gamma=90.00
Sites, in units of the cell vectors:
Np1 0.500 0.500 0.500
Al1 0.500 0.500 0.000
Rh1 0.000 0.000 0.207
Rh2 0.000 0.000 0.793

The value obtained for the formation energy is -0.5940 eV per atom. For the raw total energy, the calculation gives -8.441 eV per atom.

---

The following is a PBE calculation of a relaxed NpAlRh2 crystal, from Alexandria.

Unit cell a=3.235 b=4.598 c=4.598 alpha=90.00 beta=90.00 gamma=90.00
Sites, in units of the cell vectors:
Rh1 0.000 0.000 0.500
Rh2 0.000 0.500 0.000
Al1 0.500 0.500 0.500
Np1 0.500 0.000 0.000

The value obtained for the formation energy is -0.4872 eV per atom. For the raw total energy, the calculation gives -8.334 eV per atom.

---

The following is a PBE calculation of a relaxed NpAl11Rh crystal, from Alexandria.

Unit cell a=5.175 b=7.132 c=6.805 alpha=82.66 beta=67.65 gamma=70.38
Sites, in units of the cell vectors:
Al1 0.000 0.000 0.500
Al2 0.286 0.222 0.214
Al3 0.501 0.778 0.214
Al4 0.000 0.500 0.000
Al5 0.008 0.644 0.349
Al6 0.499 0.222 0.786
Al7 0.500 0.000 0.500
Al8 0.643 0.356 0.349
Al9 0.357 0.644 0.651
Al10 0.992 0.356 0.651
Al11 0.714 0.778 0.786
Rh1 0.500 0.500 0.000
Np1 0.000 0.000 0.000

The value obtained for the formation energy is -0.2205 eV per atom. For the raw total energy, the calculation gives -4.948 eV per atom.

---

The following is a PBE calculation of a relaxed Np4AlRh12 crystal, from Alexandria.

Unit cell a=7.162 b=7.162 c=7.162 alpha=109.47 beta=109.47 gamma=109.47
Sites, in units of the cell vectors:
Rh1 0.714 0.714 0.000
Rh2 0.750 0.500 0.250
Rh3 0.500 0.250 0.750
Rh4 0.000 0.286 0.286
Rh5 0.286 0.286 0.000
Rh6 0.500 0.750 0.250
Rh7 0.714 0.000 0.714
Rh8 0.750 0.250 0.500
Rh9 0.000 0.714 0.714
Rh10 0.250 0.750 0.500
Rh11 0.250 0.500 0.750
Rh12 0.286 0.000 0.286
Np1 0.500 0.000 0.000
Np2 0.000 0.000 0.500
Np3 0.000 0.500 0.000
Np4 0.500 0.500 0.500
Al1 0.000 0.000 0.000

The value obtained for the formation energy is -0.3876 eV per atom. For the raw total energy, the calculation gives -8.842 eV per atom.

---

The following is a PBE calculation of a relaxed NpAlRuRh crystal, from Alexandria.

Unit cell a=4.569 b=4.569 c=4.569 alpha=60.00 beta=60.00 gamma=60.00
Sites, in units of the cell vectors:
Np1 0.500 0.500 0.500
Rh1 0.250 0.250 0.250
Al1 0.000 0.000 0.000
Ru1 0.750 0.750 0.750

The value obtained for the formation energy is -0.4447 eV per atom. For the raw total energy, the calculation gives -8.772 eV per atom.

---

The following is a PBE calculation of a relaxed Np2Al2Si4Rh crystal, from Alexandria.

Unit cell a=5.998 b=5.998 c=5.998 alpha=90.78 beta=119.55 gamma=119.55
Sites, in units of the cell vectors:
Si1 0.000 0.283 0.717
Si2 0.000 0.717 0.283
Si3 0.567 0.283 0.283
Si4 0.433 0.717 0.717
Np1 0.500 0.750 0.250
Np2 0.500 0.250 0.750
Rh1 0.000 0.000 0.000
Al1 0.000 0.712 0.712
Al2 0.000 0.288 0.288

For the raw total energy, the calculation gives -7.307 eV per atom.

---

The following is a PBE calculation of a relaxed NpAlTcRh crystal, from Alexandria.

Unit cell a=4.562 b=4.562 c=4.562 alpha=60.00 beta=60.00 gamma=60.00
Sites, in units of the cell vectors:
Np1 0.250 0.250 0.250
Al1 0.750 0.750 0.750
Tc1 0.500 0.500 0.500
Rh1 0.000 0.000 0.000

The value obtained for the formation energy is -0.3592 eV per atom. For the raw total energy, the calculation gives -8.959 eV per atom.

---

The following is a PBE calculation of a relaxed NpAl11Ru crystal, from Alexandria.

Unit cell a=5.194 b=7.101 c=6.818 alpha=82.37 beta=67.61 gamma=69.61
Sites, in units of the cell vectors:
Np1 0.000 0.000 0.000
Al1 0.000 0.500 0.000
Al2 0.714 0.779 0.787
Al3 0.362 0.642 0.654
Al4 0.501 0.779 0.213
Al5 0.500 0.000 0.500
Al6 0.286 0.221 0.213
Al7 0.499 0.221 0.787
Al8 0.638 0.358 0.346
Al9 0.016 0.642 0.346
Al10 0.984 0.358 0.654
Al11 0.000 0.000 0.500
Ru1 0.500 0.500 0.000

The value obtained for the formation energy is -0.1918 eV per atom. For the raw total energy, the calculation gives -5.068 eV per atom.

---

The following is a PBE calculation of a relaxed Tb2NpAl2Ru5 crystal, from Alexandria.

Unit cell a=3.354 b=10.202 c=10.202 alpha=90.00 beta=90.00 gamma=90.00
Sites, in units of the cell vectors:
Ru1 0.500 0.567 0.699
Ru2 0.500 0.500 0.000
Ru3 0.500 0.933 0.199
Ru4 0.500 0.301 0.567
Ru5 0.500 0.000 0.500
Ru6 0.500 0.801 0.933
Ru7 0.500 0.699 0.433
Ru8 0.500 0.433 0.301
Ru9 0.500 0.067 0.801
Ru10 0.500 0.199 0.067
Al1 0.000 0.873 0.373
Al2 0.000 0.373 0.127
Al3 0.000 0.627 0.873
Al4 0.000 0.127 0.627
Tb1 0.000 0.670 0.170
Tb2 0.000 0.330 0.830
Tb3 0.000 0.830 0.670
Tb4 0.000 0.170 0.330
Np1 0.000 0.500 0.500
Np2 0.000 0.000 0.000

The value obtained for the formation energy is -0.4345 eV per atom. For the raw total energy, the calculation gives -8.041 eV per atom.

---

The following is a PBE calculation of a relaxed NpAlTcRu crystal, from Alexandria.

Unit cell a=4.541 b=4.541 c=4.541 alpha=60.00 beta=60.00 gamma=60.00
Sites, in units of the cell vectors:
Tc1 0.500 0.500 0.500
Ru1 0.000 0.000 0.000
Al1 0.250 0.250 0.250
Np1 0.750 0.750 0.750

The value obtained for the formation energy is -0.2552 eV per atom. For the raw total energy, the calculation gives -9.337 eV per atom.

---

The following is a PBE calculation of a relaxed Tm2NpAl2Ru5 crystal, from Alexandria.

Unit cell a=3.346 b=10.115 c=10.115 alpha=90.00 beta=90.00 gamma=90.00
Sites, in units of the cell vectors:
Tm1 0.000 0.831 0.669
Tm2 0.000 0.169 0.331
Tm3 0.000 0.331 0.831
Tm4 0.000 0.669 0.169
Al1 0.000 0.627 0.873
Al2 0.000 0.873 0.373
Al3 0.000 0.127 0.627
Al4 0.000 0.373 0.127
Ru1 0.500 0.932 0.199
Ru2 0.500 0.301 0.568
Ru3 0.500 0.068 0.801
Ru4 0.500 0.199 0.068
Ru5 0.500 0.500 0.000
Ru6 0.500 0.568 0.699
Ru7 0.500 0.432 0.301
Ru8 0.500 0.699 0.432
Ru9 0.500 0.801 0.932
Ru10 0.500 0.000 0.500
Np1 0.000 0.500 0.500
Np2 0.000 0.000 0.000

The value obtained for the formation energy is -0.4741 eV per atom. For the raw total energy, the calculation gives -8.049 eV per atom.

---

The following is a PBE calculation of a relaxed Np2AlS5 crystal, from Alexandria.

Unit cell a=5.268 b=6.869 c=12.385 alpha=90.00 beta=90.00 gamma=112.55
Sites, in units of the cell vectors:
Np1 0.851 0.702 0.432
Np2 0.149 0.298 0.932
Np3 0.851 0.702 0.068
Np4 0.149 0.298 0.568
S1 0.692 0.383 0.592
S2 0.692 0.383 0.908
S3 0.273 0.546 0.750
S4 0.308 0.617 0.092
S5 0.052 0.104 0.378
S6 0.727 0.454 0.250
S7 0.308 0.617 0.408
S8 0.948 0.896 0.622
S9 0.052 0.104 0.122
S10 0.948 0.896 0.878
Al1 0.189 0.379 0.250
Al2 0.811 0.621 0.750

For the raw total energy, the calculation gives -7.380 eV per atom.

---

The following is a PBE calculation of a relaxed Np3AlS6 crystal, from Alexandria.

Unit cell a=6.485 b=8.493 c=8.493 alpha=102.22 beta=90.00 gamma=90.00
Sites, in units of the cell vectors:
Al1 0.525 0.802 0.198
Al2 0.025 0.198 0.802
S1 0.194 0.432 0.902
S2 0.188 0.688 0.632
S3 0.194 0.098 0.568
S4 0.688 0.312 0.368
S5 0.694 0.568 0.098
S6 0.164 0.039 0.961
S7 0.694 0.902 0.432
S8 0.664 0.961 0.039
S9 0.688 0.632 0.688
S10 0.188 0.368 0.312
S11 0.179 0.782 0.218
S12 0.679 0.218 0.782
Np1 0.478 0.916 0.720
Np2 0.478 0.280 0.084
Np3 0.397 0.399 0.601
Np4 0.978 0.720 0.916
Np5 0.978 0.084 0.280
Np6 0.897 0.601 0.399

For the raw total energy, the calculation gives -8.033 eV per atom.

---

The following is a PBE calculation of a relaxed NpAlS4 crystal, from Alexandria.

Unit cell a=5.671 b=5.671 c=8.646 alpha=90.00 beta=90.00 gamma=103.30
Sites, in units of the cell vectors:
S1 0.305 0.903 0.750
S2 0.097 0.695 0.250
S3 0.297 0.297 0.055
S4 0.695 0.097 0.250
S5 0.703 0.703 0.945
S6 0.297 0.297 0.445
S7 0.703 0.703 0.555
S8 0.903 0.305 0.750
Np1 0.608 0.608 0.250
Np2 0.392 0.392 0.750
Al1 0.086 0.086 0.250
Al2 0.914 0.914 0.750

For the raw total energy, the calculation gives -6.404 eV per atom.

---

The following is a PBE calculation of a relaxed Np3Al5S12 crystal, from Alexandria.

Unit cell a=12.976 b=12.976 c=12.976 alpha=109.47 beta=109.47 gamma=109.47
Sites, in units of the cell vectors:
S1 0.678 0.207 0.587
S2 0.091 0.913 0.120
S3 0.591 0.971 0.678
S4 0.587 0.707 0.678
S5 0.413 0.120 0.591
S6 0.971 0.380 0.293
S7 0.087 0.909 0.380
S8 0.091 0.178 0.471
S9 0.793 0.471 0.380
S10 0.409 0.029 0.322
S11 0.587 0.880 0.409
S12 0.029 0.409 0.822
S13 0.909 0.087 0.880
S14 0.380 0.971 0.793
S15 0.178 0.091 0.971
S16 0.707 0.587 0.178
S17 0.909 0.822 0.529
S18 0.380 0.409 0.087
S19 0.409 0.380 0.587
S20 0.913 0.091 0.620
S21 0.120 0.707 0.529
S22 0.591 0.620 0.413
S23 0.471 0.678 0.091
S24 0.207 0.678 0.087
S25 0.529 0.207 0.120
S26 0.322 0.529 0.409
S27 0.029 0.620 0.707
S28 0.178 0.087 0.707
S29 0.322 0.793 0.413
S30 0.293 0.880 0.971
S31 0.707 0.120 0.029
S32 0.087 0.178 0.207
S33 0.413 0.293 0.322
S34 0.913 0.822 0.793
S35 0.822 0.909 0.029
S36 0.471 0.793 0.880
S37 0.529 0.322 0.909
S38 0.678 0.471 0.591
S39 0.620 0.591 0.913
S40 0.620 0.029 0.207
S41 0.880 0.587 0.909
S42 0.207 0.529 0.620
S43 0.880 0.293 0.471
S44 0.971 0.591 0.178
S45 0.293 0.413 0.822
S46 0.120 0.413 0.091
S47 0.822 0.913 0.293
S48 0.793 0.322 0.913
Al1 0.875 0.250 0.625
Al2 0.625 0.875 0.250
Al3 0.875 0.625 0.750
Al4 0.375 0.250 0.125
Al5 0.000 0.500 0.000
Al6 0.000 0.000 0.000
Al7 0.500 0.500 0.000
Al8 0.000 0.000 0.500
Al9 0.000 0.500 0.500
Al10 0.625 0.750 0.875
Al11 0.750 0.125 0.875
Al12 0.250 0.875 0.125
Al13 0.125 0.750 0.375
Al14 0.375 0.125 0.750
Al15 0.125 0.375 0.250
Al16 0.500 0.000 0.500
Al17 0.250 0.375 0.625
Al18 0.750 0.625 0.375
Al19 0.500 0.000 0.000
Al20 0.500 0.500 0.500
Np1 0.125 0.250 0.875
Np2 0.625 0.250 0.375
Np3 0.875 0.125 0.250
Np4 0.250 0.125 0.375
Np5 0.125 0.875 0.750
Np6 0.875 0.750 0.125
Np7 0.750 0.875 0.625
Np8 0.375 0.750 0.625
Np9 0.625 0.375 0.750
Np10 0.375 0.625 0.250
Np11 0.250 0.625 0.875
Np12 0.750 0.375 0.125

For the raw total energy, the calculation gives -6.519 eV per atom.

---

The following is a PBE calculation of a relaxed Np6AlS12 crystal, from Alexandria.

Unit cell a=7.707 b=7.707 c=7.707 alpha=99.75 beta=99.75 gamma=99.75
Sites, in units of the cell vectors:
S1 0.569 0.823 0.421
S2 0.421 0.569 0.823
S3 0.939 0.691 0.037
S4 0.177 0.579 0.431
S5 0.963 0.061 0.309
S6 0.061 0.309 0.963
S7 0.037 0.939 0.691
S8 0.579 0.431 0.177
S9 0.431 0.177 0.579
S10 0.309 0.963 0.061
S11 0.691 0.037 0.939
S12 0.823 0.421 0.569
Np1 0.868 0.702 0.378
Np2 0.132 0.298 0.622
Np3 0.702 0.378 0.868
Np4 0.378 0.868 0.702
Np5 0.622 0.132 0.298
Np6 0.298 0.622 0.132
Al1 0.000 0.000 0.000

For the raw total energy, the calculation gives -8.205 eV per atom.